# MnRe2H

A relaxed MnRe2H crystal (PBE, Alexandria).

Summary:
The calculation puts the magnetization at 0.165 μB/atom. The symmetry is Fm-3m, No. 225. The total energy is -8.696 eV per atom.

Cell: 4.0475 4.0475 4.0475 Å, 60.00 60.00 60.00°
Fractional coordinates of all 4 atoms:
Mn 0.0000 0.0000 0.0000
Re 0.2500 0.2500 0.2500
Re 0.7500 0.7500 0.7500
H 0.5000 0.5000 0.5000



# InSiAg

A relaxed InSiAg crystal (PBE, Alexandria).

Summary:
The calculation puts the magnetization at 0.000 μB/atom. The symmetry is P1, No. 1. As for the uncorrected formation energy: 183 meV/atom. The total energy is -3.488 eV per atom.

Cell: 3.8182 4.7588 7.9111 Å, 96.52 90.10 113.57°
Fractional coordinates of all 6 atoms:
In 0.0000 0.0000 0.0000
In 0.3540 0.7104 0.6626
Si 0.3529 0.7038 0.3154
Si 0.7446 0.4873 0.1675
Ag 0.6291 0.2638 0.4603
Ag 0.6701 0.3417 0.8274



# Na10B13C7

A relaxed Na10B13C7 crystal (PBE, Alexandria).

Summary:
The energy of formation comes out at 0.09 eV/atom. The calculation puts the magnetization at 0.000 μB/atom. The symmetry is Cm, No. 8. The total energy is -5.394 eV per atom.

Cell: 9.0182 9.0182 13.2791 Å, 113.27 113.27 18.02°
Fractional coordinates of all 30 atoms:
Na 0.0000 0.0000 0.0000
Na 0.0015 0.0015 0.4962
Na 0.2005 0.2005 0.3992
Na 0.2015 0.2015 0.8990
Na 0.3989 0.3989 0.7991
Na 0.4010 0.4010 0.2991
Na 0.6002 0.6002 0.2001
Na 0.6033 0.6033 0.6948
Na 0.7990 0.7990 0.5984
Na 0.8009 0.8009 0.1009
B 0.0236 0.0236 0.7931
B 0.1622 0.1622 0.5693
B 0.1731 0.1731 0.0957
B 0.2338 0.2338 0.7123
B 0.2415 0.2415 0.2319
B 0.3689 0.3689 0.9873
B 0.4319 0.4319 0.6079
B 0.5638 0.5638 0.3749
B 0.5657 0.5657 0.8797
B 0.6308 0.6308 0.0108
B 0.7739 0.7739 0.7942
B 0.8371 0.8371 0.4207
B 0.9655 0.9655 0.1812
C 0.0314 0.0314 0.3114
C 0.3686 0.3686 0.4824
C 0.4332 0.4332 0.1176
C 0.6299 0.6299 0.5053
C 0.7727 0.7727 0.2937
C 0.8371 0.8371 0.9225
C 0.9640 0.9640 0.6712